VASP calculation (GGA-PBE) on PaGaPt after structural relaxation.

POSCAR file:
```
PaGaPt
1.0
0.0000 3.2506 3.2506
3.2506 0.0000 3.2506
3.2506 3.2506 0.0000
Ga Pt Pa
1 1 1
Cartesian
1.6253 1.6253 1.6253
0.0000 0.0000 0.0000
4.8759 4.8759 4.8759
```

Calculated total energy (eV/atom): -6.917
Total magnetic moment (μB per atom): 0.003